The following is a DFT calculation (PBE-GGA) of an optimized crystal structure of Nd4RhSeCl2.

a b c (Å): 4.055 7.338 7.563
angles (deg): 71.86 90.00 90.00
Element x y z (fractional)
Cl  0.500  0.000  0.500
Se  0.500  0.500  0.000
Nd  0.500  0.281  0.720
Cl  0.000  0.000  0.000
Nd  0.000  0.268  0.253
Nd  0.000  0.732  0.747
Rh  0.000  0.500  0.500
Nd  0.500  0.719  0.280

Computed properties:
E_tot (eV for the cell shown): -44.43
Space group: P2/m, No. 10